VASP calculation (GGA-PBE) on an optimized crystal structure of ZnNi3N.

abc: 9.779 6.821 6.821
angles: 77.86 123.42 56.58
Sites, in units of the cell vectors:
Zn: 0.086 0.480 0.388
Ni: 0.411 0.397 0.472
Ni: 0.418 0.131 0.227
Zn: 0.414 0.888 0.980
Zn: 0.914 0.520 0.612
Ni: 0.589 0.603 0.528
Ni: 0.920 0.759 0.855
N: 0.750 0.458 0.958
Ni: 0.082 0.727 0.631
Ni: 0.089 0.972 0.897
N: 0.750 0.179 0.679
Ni: 0.582 0.869 0.773
N: 0.250 0.542 0.042
Ni: 0.918 0.273 0.369
Ni: 0.080 0.241 0.145
N: 0.250 0.821 0.321
Zn: 0.586 0.112 0.020
Ni: 0.911 0.028 0.103
Ni: 0.580 0.355 0.259
Ni: 0.420 0.645 0.741

Calculated values
VASP energy in eV per atom: -5.34
Energy relative to the elements, uncorrected in meV per atom: 48
Crystal system: monoclinic
Space group: C2/c, No. 15